(1)
PmSc2In | the Alexandria database | PBE | optimized geometry; calculated formation energy = -0.251 eV/atom; SG = No. 123
1.0
4.6984 0.0000 0.0000
0.0000 4.6984 0.0000
0.0000 0.0000 4.6486
Pm Sc In
1 2 1
direct
0.0000 0.0000 0.0000
0.0000 0.5000 0.5000
0.5000 0.0000 0.5000
0.5000 0.5000 0.0000

=====

(2)
PmSc2In | the Alexandria database | PBE | optimized geometry; calculated formation energy = -0.100 eV/atom; SG = No. 160
1.0
1.7011 0.9821 10.5969
-1.7011 0.9821 10.5969
0.0000 -1.9642 10.5969
Pm Sc In
1 2 1
direct
0.0000 0.0000 0.0000
0.5770 0.5770 0.5770
0.7559 0.7559 0.7559
0.1663 0.1663 0.1663

=====

(3)
Pm2Sc2In3 | the Alexandria database | PBE | optimized geometry; calculated formation energy = -0.328 eV/atom; SG = No. 65
1.0
2.3371 -11.8985 0.0000
2.3371 11.8985 0.0000
0.0000 0.0000 3.2590
Pm Sc In
2 2 3
direct
0.0762 0.9238 0.0000
0.9238 0.0762 0.0000
0.2107 0.7893 0.0000
0.7893 0.2107 0.0000
0.3381 0.6619 0.5000
0.5000 0.5000 0.5000
0.6619 0.3381 0.5000

=====

(4)
Pm2ScIn4 | the Alexandria database | PBE | optimized geometry; calculated formation energy = -0.340 eV/atom; SG = No. 139
1.0
-2.5779 2.5779 7.4149
2.5779 -2.5779 7.4149
2.5779 2.5779 -7.4149
Pm Sc In
2 1 4
direct
0.2476 0.2476 0.0000
0.7524 0.7524 0.0000
0.0000 0.0000 0.0000
0.1051 0.6051 0.5000
0.3949 0.8949 0.5000
0.6051 0.1051 0.5000
0.8949 0.3949 0.5000

=====

Which of these has the lowest calculated formation energy? Pm2ScIn4